Here is a relaxed structure of RbIrOs from the Open Quantum Materials Database. Energies are from PBE.

Output
For the energy above the most stable polymorph in this dataset, the calculation gives 1266 meV per atom.

a = 4.608 Å, b = 4.608 Å, c = 4.608 Å
α = 60.00°, β = 60.00°, γ = 60.00°
Positions (direct):
Os (0.750, 0.750, 0.750)
Ir (0.250, 0.250, 0.250)
Rb (0.000, 0.000, 0.000)

***

Here is a relaxed structure of Nd3MgIn3AgPd from the Open Quantum Materials Database. Energies are from PBE.

Output
The total DFT energy (no corrections) is -4.065 eV per atom.

a = 7.999 Å, b = 7.999 Å, c = 4.063 Å
α = 90.00°, β = 90.00°, γ = 120.00°
Positions (direct):
In (0.006, 0.262, 0.500)
Nd (0.976, 0.582, 0.000)
Ag (0.000, 0.000, 0.000)
Mg (0.333, 0.667, 0.500)
Nd (0.418, 0.394, 0.000)
Nd (0.606, 0.024, 0.000)
In (0.738, 0.744, 0.500)
In (0.256, 0.994, 0.500)
Pd (0.667, 0.333, 0.500)

***

Here is a relaxed structure of NbCdCoGe from the Open Quantum Materials Database. Energies are from PBE.

Output
For the energy above the most stable polymorph in this dataset, the calculation gives 0 meV per atom.

a = 4.503 Å, b = 4.503 Å, c = 4.503 Å
α = 60.00°, β = 60.00°, γ = 60.00°
Each line ends with the local moment (μB).
Positions (direct):
Nb (0.250, 0.250, 0.250)  0.93
Co (0.750, 0.750, 0.750)  1.00
Ge (0.000, 0.000, 0.000)  0.02
Cd (0.500, 0.500, 0.500)  0.01

***

Here is a relaxed structure of Be2Ir2Os from the Open Quantum Materials Database. Energies are from PBE.

Output
The total DFT energy (no corrections) is -7.538 eV per atom.

a = 6.581 Å, b = 6.581 Å, c = 2.725 Å
α = 90.00°, β = 90.00°, γ = 90.00°
Positions (direct):
Be (0.881, 0.381, 0.000)
Be (0.619, 0.881, 0.000)
Be (0.119, 0.619, 0.000)
Os (0.000, 0.000, 0.000)
Ir (0.323, 0.823, 0.500)
Ir (0.677, 0.177, 0.500)
Os (0.500, 0.500, 0.000)
Ir (0.177, 0.323, 0.500)
Ir (0.823, 0.677, 0.500)
Be (0.381, 0.119, 0.000)